First-principles (PBE) data for crystalline ZrAl2Tc2 at its relaxed geometry, as listed in OQMD via LeMat-Bulk.

Cell lengths 6.424, 6.424, 6.424 Å; angles 145.39, 145.39, 49.75 degrees
Sites, in units of the cell vectors:
Zr: 0.000 0.000 0.000
Al: 0.396 0.396 0.000
Al: 0.604 0.604 0.000
Tc: 0.250 0.750 0.500
Tc: 0.750 0.250 0.500

energy relative to the lowest polymorph listed for this composition	0	meV per atom
M_tot	0.1	μB per formula unit
symmetry	No. 139